Record 1
VASP calculation (PBE) on a geometry-optimized ZnIr2Pt2 structure. Values from VASP.

Results
- VASP energy: -6.039 eV per atom
- Volume: 162 Å³ per cell
- Polymorph energy (0 for the lowest one): 0.0 kJ per mole of atoms
- Formation energy: 0.88 eV per formula unit

```
&SYSTEM
  ibrav = 0, nat = 10, ntyp = 3
/
ATOMIC_SPECIES
Zn 65.41 Zn.upf
Ir 192.22 Ir.upf
Pt 195.08 Pt.upf
ATOMIC_POSITIONS angstrom
Zn 0.000 0.000 0.000
Zn -4.565 -0.950 -0.074
Ir -5.170 -3.184 -1.175
Ir -7.047 -0.504 0.384
Ir -3.960 1.285 1.027
Ir -2.083 -1.396 -0.532
Pt -3.172 -3.652 0.502
Pt -6.543 -2.989 1.153
Pt -5.658 0.048 2.643
Pt -2.286 -0.615 1.992
CELL_PARAMETERS angstrom
-5.440 3.085 2.094
-3.690 -4.985 -2.242
0.301 -1.704 3.293
```

---

Record 2
VASP calculation (PBE) on a geometry-optimized ZnIrPt2 structure. Values from VASP.

Results
- VASP energy: -5.373 eV per atom
- Volume: 131 Å³ per cell
- Formation energy: 0.73 eV per formula unit

```
&SYSTEM
  ibrav = 0, nat = 8, ntyp = 3
/
ATOMIC_SPECIES
Zn 65.41 Zn.upf
Ir 192.22 Ir.upf
Pt 195.08 Pt.upf
ATOMIC_POSITIONS angstrom
Zn 1.903 1.903 0.000
Zn 1.903 3.806 4.524
Ir 0.000 0.000 0.000
Ir 3.806 1.903 4.524
Pt 2.872 0.951 2.262
Pt 0.934 2.854 2.262
Pt 2.854 2.837 6.786
Pt 4.757 4.774 6.786
CELL_PARAMETERS angstrom
3.806 0.000 0.000
0.000 3.806 0.000
1.903 1.903 9.048
```